[1]
A plane-wave DFT calculation with meta-GGA SCAN was carried out for Mg2AlTl at its PBEsol-relaxed geometry.

Unit cell a=3.2560 b=5.0903 c=5.1792 alpha=90.00 beta=90.00 gamma=90.00
Sites, in units of the cell vectors:
Mg 0.0000 0.0000 0.0646
Mg 0.0000 0.5000 0.6922
Tl 0.5000 0.0000 0.5570
Al 0.5000 0.5000 0.1862

Properties
- ΔH_f (0 K) (meV/atom) = -8
- SG = No. 25

***

[2]
A plane-wave DFT calculation with meta-GGA SCAN was carried out for SrLa3Ir at its PBEsol-relaxed geometry.

Unit cell a=7.9681 b=8.0389 c=8.0381 alpha=60.00 beta=90.00 gamma=119.71
Sites, in units of the cell vectors:
Sr 0.2978 0.5000 0.7500
Sr 0.7022 0.5000 0.2500
Ir 0.5000 0.0000 0.0000
Ir 0.0000 0.0000 0.5000
La 0.2332 0.9665 0.7668
La 0.2332 0.9665 0.2668
La 0.7668 0.0335 0.7332
La 0.7668 0.0335 0.2332
La 0.7851 0.5000 0.7500
La 0.2149 0.5000 0.2500

Properties
- distance to the lowest polymorph of the same formula (eV per formula unit) = 0.00
- ΔH_f (0 K) (meV/atom) = -419
- SG = No. 74

***

[3]
A plane-wave DFT calculation with meta-GGA SCAN was carried out for Tc2AgOs at its PBEsol-relaxed geometry.

Unit cell a=2.6907 b=2.6907 c=8.0601 alpha=90.00 beta=90.00 gamma=90.00
Sites, in units of the cell vectors:
Ag 0.5000 0.5000 0.0000
Os 0.5000 0.5000 0.5000
Tc 0.0000 0.0000 0.7336
Tc 0.0000 0.0000 0.2664

Properties
- distance to the lowest polymorph of the same formula (eV per formula unit) = 0.00
- ΔH_f (0 K) (meV/atom) = 324
- SG = No. 123

***

[4]
A plane-wave DFT calculation with meta-GGA SCAN was carried out for TaSb2Ru at its PBEsol-relaxed geometry.

Unit cell a=3.1030 b=4.1491 c=5.8978 alpha=90.00 beta=95.12 gamma=90.00
Sites, in units of the cell vectors:
Ru 0.0000 0.5000 0.5000
Sb 0.8591 0.0000 0.7478
Sb 0.1409 0.0000 0.2522
Ta 0.5000 0.5000 0.0000

Properties
- E_form (uncorrected) (eV per formula unit) = 1.6
- SG = No. 10

***

[5]
A plane-wave DFT calculation with meta-GGA SCAN was carried out for NaCr2AsIr at its PBEsol-relaxed geometry.

Unit cell a=4.5282 b=4.5282 c=4.7317 alpha=90.00 beta=90.00 gamma=90.00
Sites, in units of the cell vectors:
Cr 0.0000 0.5000 0.0000
Cr 0.5000 0.0000 0.0000
As 0.0000 0.0000 0.0000
Ir 0.5000 0.5000 0.5000
Na 0.0000 0.0000 0.5000

Properties
- ΔH_f (0 K) (meV/atom) = 920
- SG = No. 123

***

[6]
A plane-wave DFT calculation with meta-GGA SCAN was carried out for KH3S2O8 at its PBEsol-relaxed geometry.

Unit cell a=7.6341 b=8.7406 c=11.3814 alpha=90.00 beta=90.00 gamma=112.57
Sites, in units of the cell vectors:
K 0.8445 0.4392 0.2550
K 0.1555 0.0608 0.7550
K 0.1555 0.5608 0.7450
K 0.8445 0.9392 0.2450
H 0.2316 0.9924 0.0924
H 0.7684 0.5076 0.5924
H 0.7684 0.0076 0.9076
H 0.2316 0.4924 0.4076
H 0.3406 0.6974 0.0659
H 0.6594 0.8026 0.5659
H 0.6594 0.3026 0.9341
H 0.3406 0.1974 0.4341
H 0.2344 0.3444 0.1204
H 0.7656 0.1556 0.6204
H 0.7656 0.6556 0.8796
H 0.2344 0.8444 0.3796
S 0.0693 0.7648 0.0015
S 0.9307 0.7352 0.5015
S 0.9307 0.2352 0.9985
S 0.0693 0.2648 0.4985
S 0.4237 0.5677 0.2093
S 0.5763 0.9323 0.7093
S 0.5763 0.4323 0.7907
S 0.4237 0.0677 0.2907
O 0.9666 0.7483 0.8893
O 0.0334 0.7517 0.3893
O 0.0334 0.2517 0.1107
O 0.9666 0.2483 0.6107
O 0.9504 0.7198 0.1051
O 0.0496 0.7802 0.6051
O 0.0496 0.2802 0.8949
O 0.9504 0.2198 0.3949
O 0.1960 0.6722 0.9902
O 0.8040 0.8278 0.4902
O 0.8040 0.3278 0.0098
O 0.1960 0.1722 0.5098
O 0.1964 0.9532 0.0064
O 0.8036 0.5468 0.5064
O 0.8036 0.0468 0.9936
O 0.1964 0.4532 0.4936
O 0.2550 0.5436 0.2807
O 0.7450 0.9564 0.7807
O 0.7450 0.4564 0.7193
O 0.2550 0.0436 0.2193
O 0.5973 0.5998 0.2720
O 0.4027 0.9002 0.7720
O 0.4027 0.4002 0.7280
O 0.5973 0.0998 0.2280
O 0.4585 0.7132 0.1259
O 0.5415 0.7868 0.6259
O 0.5415 0.2868 0.8741
O 0.4585 0.2132 0.3741
O 0.3816 0.4131 0.1324
O 0.6184 0.0869 0.6324
O 0.6184 0.5869 0.8676
O 0.3816 0.9131 0.3676

Properties
- SG = No. 14

***

[7]
A plane-wave DFT calculation with meta-GGA SCAN was carried out for In at its PBEsol-relaxed geometry.

Unit cell a=5.8279 b=5.8279 c=5.8279 alpha=109.47 beta=109.47 gamma=109.47
Sites, in units of the cell vectors:
In 0.6250 0.3750 0.2500
In 0.1250 0.2500 0.3750
In 0.8750 0.1250 0.7500
In 0.2500 0.8750 0.6250
In 0.7500 0.6250 0.8750
In 0.3750 0.7500 0.1250

Properties
- distance to the lowest polymorph of the same formula (eV per formula unit) = 0.05
- ΔH_f (0 K) (meV/atom) = 49
- SG = No. 220

***

[8]
A plane-wave DFT calculation with meta-GGA SCAN was carried out for MnCoCl at its PBEsol-relaxed geometry.

Unit cell a=3.9084 b=3.9084 c=3.9084 alpha=60.00 beta=60.00 gamma=60.00
Sites, in units of the cell vectors:
Mn 0.5000 0.5000 0.5000
Co 0.0000 0.0000 0.0000
Cl 0.7500 0.7500 0.7500

Properties
- E_form (uncorrected) (eV per formula unit) = 2.1
- SG = No. 216

***

[9]
A plane-wave DFT calculation with meta-GGA SCAN was carried out for Re2HgOs2 at its PBEsol-relaxed geometry.

Unit cell a=3.9272 b=3.9272 c=6.2828 alpha=108.21 beta=108.21 gamma=90.00
Sites, in units of the cell vectors:
Re 0.3885 0.3885 0.7770
Re 0.6115 0.6115 0.2230
Os 0.2500 0.7500 0.5000
Os 0.7500 0.2500 0.5000
Hg 0.0000 0.0000 0.0000

Properties
- ΔH_f (0 K) (meV/atom) = 618
- SG = No. 139

***

[10]
A plane-wave DFT calculation with meta-GGA SCAN was carried out for ZnBr2 at its PBEsol-relaxed geometry.

Unit cell a=3.6054 b=6.9498 c=7.3764 alpha=82.33 beta=75.85 gamma=74.97
Sites, in units of the cell vectors:
Zn 0.7483 0.3398 0.1636
Zn 0.2517 0.6602 0.8364
Br 0.4079 0.2928 0.8914
Br 0.1931 0.2346 0.3792
Br 0.8069 0.7654 0.6208
Br 0.5921 0.7072 0.1086

Properties
- E_form (uncorrected) (eV per formula unit) = -2.6
- SG = No. 12

***

[11]
A plane-wave DFT calculation with meta-GGA SCAN was carried out for Zr2CuReSn at its PBEsol-relaxed geometry.

Unit cell a=4.7696 b=5.1883 c=5.1883 alpha=90.00 beta=90.00 gamma=90.00
Sites, in units of the cell vectors:
Re 0.5000 0.0000 0.0000
Cu 0.5000 0.5000 0.5000
Sn 0.0000 0.0000 0.0000
Zr 0.0000 0.0000 0.5000
Zr 0.0000 0.5000 0.0000

Properties
- ΔH_f (0 K) (meV/atom) = 1658
- SG = No. 123

***

[12]
A plane-wave DFT calculation with meta-GGA SCAN was carried out for MoPdN3 at its PBEsol-relaxed geometry.

Unit cell a=3.7996 b=3.7996 c=3.7996 alpha=90.00 beta=90.00 gamma=90.00
Sites, in units of the cell vectors:
Mo 0.5000 0.5000 0.5000
Pd 0.0000 0.0000 0.0000
N 0.0000 0.5000 0.0000
N 0.0000 0.0000 0.5000
N 0.5000 0.0000 0.0000

Properties
- E_form (uncorrected) (eV per formula unit) = 9.0
- SG = No. 221

***

[13]
A plane-wave DFT calculation with meta-GGA SCAN was carried out for NaTaMn3 at its PBEsol-relaxed geometry.

Unit cell a=4.2606 b=4.2606 c=4.2606 alpha=90.00 beta=90.00 gamma=90.00
Sites, in units of the cell vectors:
Na 0.0000 0.0000 0.0000
Mn 0.0000 0.5000 0.0000
Mn 0.0000 0.0000 0.5000
Mn 0.5000 0.0000 0.0000
Ta 0.5000 0.5000 0.5000

Properties
- ΔH_f (0 K) (meV/atom) = 1615
- SG = No. 221

***

[14]
A plane-wave DFT calculation with meta-GGA SCAN was carried out for BaY2Cu at its PBEsol-relaxed geometry.

Unit cell a=3.7340 b=5.5036 c=5.5714 alpha=90.00 beta=90.00 gamma=90.00
Sites, in units of the cell vectors:
Ba 0.5000 0.0000 0.5000
Cu 0.0000 0.5000 0.5000
Y 0.0000 0.0000 0.0000
Y 0.5000 0.5000 0.0000

Properties
- distance to the lowest polymorph of the same formula (eV per formula unit) = 0.85
- ΔH_f (0 K) (meV/atom) = 391
- SG = No. 47

***

[15]
A plane-wave DFT calculation with meta-GGA SCAN was carried out for TaBTeI2 at its PBEsol-relaxed geometry.

Unit cell a=5.3329 b=5.4692 c=5.4692 alpha=90.00 beta=90.00 gamma=90.00
Sites, in units of the cell vectors:
I 0.0000 0.0000 0.5000
I 0.0000 0.5000 0.0000
B 0.5000 0.5000 0.5000
Te 0.5000 0.0000 0.0000
Ta 0.0000 0.0000 0.0000

Properties
- E_form (uncorrected) (eV per formula unit) = 6.1
- SG = No. 123

***

[16]
A plane-wave DFT calculation with meta-GGA SCAN was carried out for Tl2RuSe at its PBEsol-relaxed geometry.

Unit cell a=3.1705 b=4.5035 c=6.6359 alpha=109.84 beta=90.00 gamma=90.00
Sites, in units of the cell vectors:
Ru 0.0000 0.7232 0.4464
Se 0.5000 0.5752 0.1503
Tl 0.0000 0.9517 0.9033
Tl 0.5000 0.2610 0.5220

Properties
- distance to the lowest polymorph of the same formula (eV per formula unit) = 0.00
- E_form (uncorrected) (eV per formula unit) = 0.4
- SG = No. 38

***

[17]
A plane-wave DFT calculation with meta-GGA SCAN was carried out for Sr2LaBeO5 at its PBEsol-relaxed geometry.

Unit cell a=6.5886 b=7.4508 c=9.5555 alpha=90.00 beta=90.00 gamma=90.00
Sites, in units of the cell vectors:
Sr 0.4137 0.4746 0.8271
Sr 0.5863 0.5254 0.1729
Sr 0.9137 0.5254 0.6729
Sr 0.5863 0.9746 0.1729
Sr 0.0863 0.4746 0.3271
Sr 0.4137 0.0254 0.8271
Sr 0.0863 0.0254 0.3271
Sr 0.9137 0.9746 0.6729
La 0.9032 0.2500 0.9703
La 0.0968 0.7500 0.0297
La 0.4032 0.7500 0.5297
La 0.5968 0.2500 0.4703
Be 0.1885 0.2500 0.6006
Be 0.8115 0.7500 0.3994
Be 0.6885 0.7500 0.8994
Be 0.3115 0.2500 0.1006
O 0.3102 0.4352 0.5632
O 0.6898 0.5648 0.4368
O 0.8102 0.5648 0.9368
O 0.6898 0.9352 0.4368
O 0.1898 0.4352 0.0632
O 0.3102 0.0648 0.5632
O 0.1898 0.0648 0.0632
O 0.8102 0.9352 0.9368
O 0.1286 0.2500 0.7692
O 0.8714 0.7500 0.2308
O 0.6286 0.7500 0.7308
O 0.3714 0.2500 0.2692
O 0.9703 0.2500 0.5127
O 0.0297 0.7500 0.4873
O 0.4703 0.7500 0.9873
O 0.5297 0.2500 0.0127
O 0.6741 0.2500 0.7274
O 0.3259 0.7500 0.2726
O 0.1741 0.7500 0.7726
O 0.8259 0.2500 0.2274

Properties
- E_form (uncorrected) (eV per formula unit) = -27.4
- SG = No. 62

***

[18]
A plane-wave DFT calculation with meta-GGA SCAN was carried out for Y3BeBi at its PBEsol-relaxed geometry.

Unit cell a=5.1185 b=5.1185 c=5.1185 alpha=90.00 beta=90.00 gamma=90.00
Sites, in units of the cell vectors:
Y 0.0000 0.5000 0.0000
Y 0.0000 0.0000 0.5000
Y 0.5000 0.0000 0.0000
Be 0.0000 0.0000 0.0000
Bi 0.5000 0.5000 0.5000

Properties
- ΔH_f (0 K) (meV/atom) = -258
- SG = No. 221

***

[19]
A plane-wave DFT calculation with meta-GGA SCAN was carried out for InCoAu2 at its PBEsol-relaxed geometry.

Unit cell a=3.1503 b=3.2994 c=6.1661 alpha=90.00 beta=90.00 gamma=90.00
Sites, in units of the cell vectors:
Co 0.0000 0.0000 0.4996
Au 0.0000 0.0000 0.0026
Au 0.5000 0.5000 0.2721
In 0.5000 0.5000 0.7257

Properties
- ΔH_f (0 K) (meV/atom) = 47
- SG = No. 25

***

[20]
A plane-wave DFT calculation with meta-GGA SCAN was carried out for KZnRu2 at its PBEsol-relaxed geometry.

Unit cell a=2.6737 b=4.7715 c=5.8234 alpha=114.18 beta=103.27 gamma=90.00
Sites, in units of the cell vectors:
K 0.5000 0.0000 0.0000
Ru 0.7175 0.7175 0.4350
Ru 0.2825 0.2825 0.5650
Zn 0.0000 0.5000 0.0000

Properties
- ΔH_f (0 K) (meV/atom) = 786
- SG = No. 71

***

Number 1: N(E_F) 1.251 states/eV/cell, VASP energy -90.09 eV per formula unit. Number 2: N(E_F) 9.468 states/eV/cell, VASP energy -224.78 eV per formula unit. Number 3: N(E_F) 3.984 states/eV/cell, VASP energy -172.07 eV per formula unit. Number 4: N(E_F) 2.700 states/eV/cell, VASP energy -174.31 eV per formula unit. Number 5: N(E_F) 2.850 states/eV/cell, VASP energy -127.68 eV per formula unit. Number 6: N(E_F) 0.000 states/eV/cell, VASP energy -108.99 eV per formula unit. Number 7: N(E_F) 2.535 states/eV/cell, VASP energy -33.34 eV per formula unit. Number 8: N(E_F) 3.381 states/eV/cell, VASP energy -41.42 eV per formula unit. Number 9: N(E_F) 3.038 states/eV/cell, VASP energy -351.03 eV per formula unit. Number 10: N(E_F) 0.000 states/eV/cell, VASP energy -55.00 eV per formula unit. Number 11: N(E_F) 2.580 states/eV/cell, VASP energy -175.32 eV per formula unit. Number 12: N(E_F) 1.879 states/eV/cell, VASP energy -86.56 eV per formula unit. Number 13: N(E_F) 5.195 states/eV/cell, VASP energy -117.49 eV per formula unit. Number 14: N(E_F) 4.313 states/eV/cell, VASP energy -108.87 eV per formula unit. Number 15: N(E_F) 2.709 states/eV/cell, VASP energy -178.65 eV per formula unit. Number 16: N(E_F) 1.917 states/eV/cell, VASP energy -199.25 eV per formula unit. Number 17: N(E_F) 16.439 states/eV/cell, VASP energy -150.61 eV per formula unit. Number 18: N(E_F) 3.470 states/eV/cell, VASP energy -167.75 eV per formula unit. Number 19: N(E_F) 1.904 states/eV/cell, VASP energy -188.81 eV per formula unit. Number 20: N(E_F) 3.270 states/eV/cell, VASP energy -88.35 eV per formula unit.